LiCa2AgP PBE relaxed; DFT formation energy = -235 kJ/mol of formula units; DOS at the Fermi energy = 3.5 states/eV/cell; energy = -16.62 eV/cell
1.0
5.503 0.000 0.000
0.000 5.503 0.000
0.000 0.000 4.621
Li Ca Ag P
1 2 1 1
Direct
0.000 0.000 0.000
0.000 0.500 0.500
0.500 0.000 0.500
0.500 0.500 0.000
0.000 0.000 0.500